This record from the Alexandria database describes a geometry-optimized La2NiO4 structure. The functional is PBE+U.

- ΔE to the lowest computed polymorph (eV per atom) = 0.1261
- calculated volume (Å³/cell) = 201.5
- space-group type = Cmc2_1 (36)

a b c (Å): 7.2165 7.2165 7.2399
angles (deg): 90.00 90.00 147.70
Last column: nearest neighbours and their distance in Å.
Positions (direct):
La (0.9516, 0.0484, 0.1570)  4 O 2.36-2.50
Ni (0.3956, 0.6044, 0.4643)  4 O 1.98-2.08
Ni (0.6044, 0.3956, 0.9643)  4 O 1.98-2.08
O (0.2497, 0.7503, 0.5340)  1 Ni 2.08
La (0.2787, 0.7213, 0.8755)  5 O 2.35-2.59
La (0.7213, 0.2787, 0.3755)  5 O 2.35-2.59
O (0.4541, 0.5459, 0.8418)  1 Ni 2.26, 1 La 2.44
O (0.0974, 0.9026, 0.9887)  2 Ni 2.02
O (0.7503, 0.2497, 0.0340)  1 Ni 2.08
La (0.0484, 0.9516, 0.6570)  4 O 2.36-2.50
O (0.6446, 0.3554, 0.7013)  1 Ni 1.98
O (0.9026, 0.0974, 0.4887)  2 Ni 2.02
O (0.3554, 0.6446, 0.2013)  1 Ni 1.98
O (0.5459, 0.4541, 0.3418)  1 Ni 2.26, 1 La 2.44